No. 1
The following is a GGA-PBEsol calculation of a relaxed structure of Co6NiPt, from the Alexandria database.

The density of states at the Fermi level is 73.30 states/eV/cell. The total DFT energy (no corrections) comes out at -59.6 eV/f.u. The total magnetization is 1.369 μB per atom. The calculation puts the energy of formation from the pure elements at -0.01 eV/atom.

It has space group Cmmm (No. 65), with a = 7.0551 Å, b = 10.0154 Å, c = 10.0151 Å, α = 90.00°, β = 90.00° and γ = 90.00°. Symmetry generates all atoms from Co at (0.0000, 0.0000, 0.0000), Co at (0.0000, 0.0000, 0.5000), Co at (0.0000, 0.2457, 0.2438), Co at (0.0000, 0.5000, 0.0000), Co at (0.0000, 0.5000, 0.5000), Co at (0.2434, 0.1221, 0.3708), Co at (0.2443, 0.1277, 0.1210), Ni at (0.0000, 0.0000, 0.2455), Ni at (0.0000, 0.2523, 0.0000), Pt at (0.0000, 0.2521, 0.5000) and Pt at (0.0000, 0.5000, 0.2467).

=====

No. 2
The following is a GGA-PBEsol calculation of a relaxed structure of CoNiPt2, from the Alexandria database.

The density of states at the Fermi level is 5.32 states/eV/cell. The total DFT energy (no corrections) comes out at -27.9 eV/f.u. The total magnetization is 0.778 μB per atom. The calculation puts the energy of formation from the pure elements at -0.03 eV/atom.

It has space group P4mm (No. 99), with a = 2.6748 Å, b = 2.6748 Å, c = 7.1893 Å, α = 90.00°, β = 90.00° and γ = 90.00°. Symmetry generates all atoms from Co at (0.0000, 0.0000, 0.0000), Ni at (0.5000, 0.5000, 0.2132), Pt at (0.0000, 0.0000, 0.4633) and Pt at (0.5000, 0.5000, 0.7535).

=====

No. 3
The following is a GGA-PBEsol calculation of a relaxed structure of Co2NiPt, from the Alexandria database.

The density of states at the Fermi level is 8.67 states/eV/cell. The total DFT energy (no corrections) comes out at -28.8 eV/f.u. The total magnetization is 1.133 μB per atom. The calculation puts the energy of formation from the pure elements at -0.05 eV/atom.

It has space group I-4m2 (No. 119), with a = 3.6231 Å, b = 3.6231 Å, c = 7.1196 Å, α = 90.00°, β = 90.00° and γ = 90.00°. Symmetry generates all atoms from Co at (0.0000, 0.0000, 0.0000), Co at (0.0000, 0.5000, 0.2500), Ni at (0.0000, 0.5000, 0.7500) and Pt at (0.0000, 0.0000, 0.5000).

=====

No. 4
The following is a GGA-PBEsol calculation of a relaxed structure of Co2NiPt, from the Alexandria database.

The density of states at the Fermi level is 8.87 states/eV/cell. The total DFT energy (no corrections) comes out at -28.7 eV/f.u. The total magnetization is 1.101 μB per atom. The calculation puts the energy of formation from the pure elements at -0.02 eV/atom.

It has space group Cm (No. 8), with a = 8.3789 Å, b = 2.5830 Å, c = 4.4061 Å, α = 90.00°, β = 100.65° and γ = 90.00°. Symmetry generates all atoms from Co at (0.0000, 0.0000, 0.0000), Co at (0.2446, 0.5000, 0.2354), Ni at (0.4925, 0.0000, 0.4702) and Pt at (0.2477, 0.0000, 0.7368).

=====

No. 5
The following is a GGA-PBEsol calculation of a relaxed structure of CoNiPt2, from the Alexandria database.

The density of states at the Fermi level is 4.53 states/eV/cell. The total DFT energy (no corrections) comes out at -28.2 eV/f.u. The total magnetization is 0.809 μB per atom. The calculation puts the energy of formation from the pure elements at -0.09 eV/atom.

It has space group P4/mmm (No. 123), with a = 2.6646 Å, b = 2.6646 Å, c = 7.2501 Å, α = 90.00°, β = 90.00° and γ = 90.00°. Symmetry generates all atoms from Co at (0.0000, 0.0000, 0.0000), Ni at (0.0000, 0.0000, 0.5000) and Pt at (0.5000, 0.5000, 0.2481).

=====

No. 6
The following is a GGA-PBEsol calculation of a relaxed structure of RbCoNi2, from the Alexandria database.

The density of states at the Fermi level is 30.53 states/eV/cell. The total DFT energy (no corrections) comes out at -15.4 eV/f.u. The total magnetization is 0.487 μB per atom. The calculation puts the energy of formation from the pure elements at 1.43 eV/atom.

It has space group Fm-3m (No. 225), with a = 6.2329 Å, b = 6.2329 Å, c = 6.2329 Å, α = 90.00°, β = 90.00° and γ = 90.00°. Symmetry generates all atoms from Rb at (0.0000, 0.0000, 0.0000), Co at (0.0000, 0.0000, 0.5000) and Ni at (0.2500, 0.2500, 0.2500).